--- a ---
Computed, not measured: a geometry-optimized HfZrS3 structure at the PBE level of DFT.

Geometry as POSCAR:
```
HfZrS3
1.0
4.880 0.000 0.000
0.000 4.880 0.000
0.000 0.000 4.880
Hf Zr S
1 1 3
direct
0.000 0.000 0.000
0.500 0.500 0.500
0.000 0.500 0.500
0.500 0.000 0.500
0.500 0.500 0.000
```

Properties
Space-group type ... No. 221
Density of states at the Fermi level ... 1.1145 states/eV/atom
Calculated density ... 5.23 Mg/m³


--- b ---
Computed, not measured: a geometry-optimized HfZrS3 structure at the PBE level of DFT.

Geometry as POSCAR:
```
HfZrS3
1.0
4.850 0.000 0.000
0.000 4.850 0.000
0.000 0.000 4.850
Hf Zr S
1 1 3
direct
0.000 0.000 0.000
0.500 0.500 0.500
0.000 0.000 0.500
0.000 0.500 0.000
0.500 0.000 0.000
```

Properties
Space-group type ... No. 221
Density of states at the Fermi level ... 0.8904 states/eV/atom
Calculated density ... 5.33 Mg/m³


--- c ---
Computed, not measured: a geometry-optimized HfZrS3 structure at the PBE level of DFT.

Geometry as POSCAR:
```
HfZrS3
1.0
4.607 0.000 0.000
0.000 9.472 2.568
0.000 -9.472 2.568
Hf Zr S
2 2 6
direct
0.250 0.092 0.908
0.750 0.908 0.092
0.250 0.510 0.850
0.750 0.850 0.510
0.250 0.099 0.653
0.250 0.583 0.373
0.250 0.901 0.005
0.750 0.005 0.901
0.750 0.373 0.583
0.750 0.653 0.099
```

Properties
Space-group type ... No. 40
Density of states at the Fermi level ... 0.4446 states/eV/atom
Calculated density ... 5.42 Mg/m³


Verdict on stability: a comes out at the bottom.


--- a ---
Computed, not measured: a geometry-optimized HfZrS4 structure at the PBE level of DFT.

Geometry as POSCAR:
```
HfZrS4
1.0
6.835 -1.834 0.000
6.835 1.834 0.000
-0.876 0.000 6.294
Hf Zr S
1 1 4
direct
0.000 0.000 0.000
0.500 0.500 0.500
0.107 0.107 0.362
0.393 0.393 0.132
0.607 0.607 0.868
0.893 0.893 0.638
```

Properties
Space-group type ... No. 12
Calculated density ... 4.19 Mg/m³


--- b ---
Computed, not measured: a geometry-optimized HfZrS4 structure at the PBE level of DFT.

Geometry as POSCAR:
```
HfZrS4
1.0
7.816 -2.516 0.000
7.816 2.516 0.000
-2.359 0.000 7.988
Hf Zr S
2 2 8
direct
0.107 0.107 0.184
0.893 0.893 0.816
0.205 0.205 0.784
0.795 0.795 0.216
0.058 0.058 0.862
0.139 0.139 0.494
0.266 0.266 0.143
0.372 0.372 0.805
0.628 0.628 0.195
0.734 0.734 0.857
0.861 0.861 0.506
0.942 0.942 0.138
```

Properties
Space-group type ... No. 12
Calculated density ... 4.21 Mg/m³


Verdict on stability: b comes out at the bottom.


--- a ---
Computed, not measured: a geometry-optimized HfSb3 structure at the PBE level of DFT.

Geometry as POSCAR:
```
HfSb3
1.0
-1.839 4.617 3.027
1.839 -4.617 3.027
1.839 4.617 -3.027
Hf Sb
1 3
direct
0.000 0.000 0.000
0.368 0.868 0.500
0.527 0.228 0.299
0.929 0.228 0.701
```

Properties
Space-group type ... No. 44
Density of states at the Fermi level ... 0.3451 states/eV/atom
Calculated density ... 8.78 Mg/m³


--- b ---
Computed, not measured: a geometry-optimized HfSb3 structure at the PBE level of DFT.

Geometry as POSCAR:
```
HfSb3
1.0
6.533 0.000 0.000
-3.267 5.658 0.000
0.000 0.000 5.474
Hf Sb
2 6
direct
0.333 0.667 0.250
0.667 0.333 0.750
0.179 0.357 0.750
0.179 0.821 0.750
0.357 0.179 0.250
0.643 0.821 0.750
0.821 0.179 0.250
0.821 0.643 0.250
```

Properties
Space-group type ... No. 194
Density of states at the Fermi level ... 0.5588 states/eV/atom
Calculated density ... 8.93 Mg/m³


Verdict on stability: b comes out at the bottom.


--- a ---
Computed, not measured: a geometry-optimized HfSbSe3 structure at the PBE level of DFT.

Geometry as POSCAR:
```
HfSbSe3
1.0
5.202 0.000 0.000
0.000 5.202 0.000
0.000 0.000 5.202
Hf Sb Se
1 1 3
direct
0.000 0.000 0.000
0.500 0.500 0.500
0.000 0.500 0.500
0.500 0.000 0.500
0.500 0.500 0.000
```

Properties
Space-group type ... No. 221
Density of states at the Fermi level ... 1.0899 states/eV/atom
Calculated density ... 6.34 Mg/m³


--- b ---
Computed, not measured: a geometry-optimized HfSbSe3 structure at the PBE level of DFT.

Geometry as POSCAR:
```
HfSbSe3
1.0
5.158 0.000 0.000
0.000 5.158 0.000
0.000 0.000 5.158
Hf Sb Se
1 1 3
direct
0.000 0.000 0.000
0.500 0.500 0.500
0.000 0.000 0.500
0.000 0.500 0.000
0.500 0.000 0.000
```

Properties
Space-group type ... No. 221
Density of states at the Fermi level ... 1.0279 states/eV/atom
Calculated density ... 6.50 Mg/m³


Verdict on stability: a comes out at the bottom.


--- a ---
Computed, not measured: a geometry-optimized Hf3SbSe structure at the PBE level of DFT.

Geometry as POSCAR:
```
Hf3SbSe
1.0
8.595 0.000 0.000
0.000 7.191 0.000
-3.684 0.000 7.364
Hf Sb Se
12 4 4
direct
0.010 0.001 0.288
0.010 0.499 0.788
0.275 0.656 0.646
0.275 0.844 0.146
0.404 0.187 0.444
0.404 0.313 0.944
0.596 0.687 0.056
0.596 0.813 0.556
0.725 0.156 0.854
0.725 0.344 0.354
0.990 0.501 0.212
0.990 0.999 0.712
0.124 0.219 0.057
0.124 0.281 0.557
0.876 0.719 0.443
0.876 0.781 0.943
0.327 0.560 0.359
0.327 0.940 0.859
0.673 0.060 0.141
0.673 0.440 0.641
```

Properties
Space-group type ... No. 14
Density of states at the Fermi level ... 0.7504 states/eV/atom
Calculated density ... 10.74 Mg/m³


--- b ---
Computed, not measured: a geometry-optimized Hf3SbSe structure at the PBE level of DFT.

Geometry as POSCAR:
```
Hf3SbSe
1.0
4.938 0.000 0.000
0.000 4.938 0.000
0.000 0.000 4.938
Hf Sb Se
3 1 1
direct
0.000 0.000 0.500
0.000 0.500 0.000
0.500 0.000 0.000
0.500 0.500 0.500
0.000 0.000 0.000
```

Properties
Space-group type ... No. 221
Density of states at the Fermi level ... 0.6191 states/eV/atom
Calculated density ... 10.15 Mg/m³


Verdict on stability: b comes out at the bottom.


--- a ---
Computed, not measured: a geometry-optimized Hf2SbSe structure at the PBE level of DFT.

Geometry as POSCAR:
```
Hf2SbSe
1.0
1.845 1.065 7.398
-1.845 1.065 7.398
0.000 -2.130 7.398
Hf Sb Se
2 1 1
direct
0.000 0.000 0.000
0.176 0.176 0.176
0.755 0.755 0.755
0.588 0.588 0.588
```

Properties
Space-group type ... No. 160
Density of states at the Fermi level ... 0.6186 states/eV/atom
Calculated density ... 10.62 Mg/m³


--- b ---
Computed, not measured: a geometry-optimized Hf2SbSe structure at the PBE level of DFT.

Geometry as POSCAR:
```
Hf2SbSe
1.0
0.000 3.453 3.453
3.453 0.000 3.453
3.453 3.453 0.000
Hf Sb Se
2 1 1
direct
0.250 0.250 0.250
0.750 0.750 0.750
0.000 0.000 0.000
0.500 0.500 0.500
```

Properties
Space-group type ... No. 225
Density of states at the Fermi level ... 0.6261 states/eV/atom
Calculated density ... 11.25 Mg/m³


Verdict on stability: b comes out at the bottom.